Entry 1:
Here is an optimized crystal structure of PuPa2H from Alexandria. Energies are from PBE.

Lattice parameters (Å, degrees): 3.101 3.101 7.762 90.00 90.00 90.00
Space group P4/mmm (No. 123)
Symmetry-distinct sites (fractional):
Pu  0.000  0.000  0.000 [1 per cell]
Pa  0.500  0.500  0.314 [2 per cell]
H  0.000  0.000  0.500 [1 per cell]

Results
Polymorph energy (0 for the lowest one), eV/f.u.: 0.104
DOS(E_F), states/eV per cell: 6.96
Crystal system: tetragonal

***

Entry 2:
Here is an optimized crystal structure of HoCuAgRh from Alexandria. Energies are from PBE.

Lattice parameters (Å, degrees): 6.576 6.576 6.576 90.00 90.00 90.00
Space group F-43m (No. 216)
Symmetry-distinct sites (fractional):
Ho  0.000  0.000  0.000 [4 per cell]
Cu  0.250  0.250  0.750 [4 per cell]
Ag  0.000  0.000  0.500 [4 per cell]
Rh  0.250  0.250  0.250 [4 per cell]

Results
DOS(E_F), states/eV per cell: 7.35
Formation enthalpy at 0 K, kJ/mol of formula units: -101
Crystal system: cubic

***

Entry 3:
Here is an optimized crystal structure of Sr6PdPt from Alexandria. Energies are from PBE.

Lattice parameters (Å, degrees): 7.4435 7.4435 21.4976 90.00 90.00 120.00
Space group R-3 (No. 148, hexagonal axes)
Symmetry-distinct sites (fractional):
Sr  0.0032  0.6606  0.2494 [18 per cell]
Pd  0.0000  0.0000  0.0000 [3 per cell]
Pt  0.0000  0.0000  0.5000 [3 per cell]

Results
DOS(E_F), states/eV per cell: 17.40
Formation enthalpy at 0 K, kJ/mol of formula units: -350
Crystal system: trigonal

***

no.,calculated total energy (eV/atom)
1,-9.00
2,-4.98
3,-3.12